1.
NdSmPt2 | PBE | relaxed

a b c (Å): 3.539 5.109 5.109
angles (deg): 90.00 90.00 90.00
Atoms (fractional coordinates):
Nd  0.500  0.000  0.000
Pt  0.000  0.000  0.500
Sm  0.500  0.500  0.500
Pt  0.000  0.500  0.000

Values from the calculation:
total magnetization = 0.0 μB per formula unit
Fermi-level density of states = 2.976 states/eV per cell
formation enthalpy at 0 K = -103 kJ per mole of atoms
total DFT energy (no corrections) = -25.86 eV per cell
crystal system = tetragonal


2.
La4CeSe7 | PBE | relaxed

a b c (Å): 4.193 7.400 12.592
angles (deg): 104.56 90.00 106.46
Atoms (fractional coordinates):
Se  0.042  0.084  0.782
Se  0.660  0.319  0.050
La  0.302  0.604  0.191
Se  0.340  0.680  0.949
La  0.000  0.000  0.999
Se  0.264  0.528  0.650
Se  0.497  0.994  0.500
Se  0.739  0.479  0.352
Ce  0.886  0.773  0.578
La  0.699  0.398  0.809
La  0.113  0.226  0.424
Se  0.957  0.915  0.215

Values from the calculation:
total magnetization = 1.1 μB per formula unit
Fermi-level density of states = 9.278 states/eV per cell
total DFT energy (no corrections) = -73.70 eV per cell
formation energy without anion corrections = -1972 meV per atom
crystal system = monoclinic


3.
HoInAg | PBE | relaxed

a b c (Å): 4.790 4.790 4.790
angles (deg): 60.00 60.00 60.00
Atoms (fractional coordinates):
Ho  0.000  0.000  0.000
In  0.500  0.500  0.500
Ag  0.250  0.250  0.250

Values from the calculation:
total magnetization = 0.0 μB per formula unit
Fermi-level density of states = 4.229 states/eV per cell
formation enthalpy at 0 K = -27 kJ per mole of atoms
total DFT energy (no corrections) = -10.99 eV per cell
crystal system = cubic


The highest total DFT energy (no corrections) belongs to which entry? HoInAg


What is the formula in the second record? La4CeSe7